{
  "formula": "Mg2AlBi",
  "functional": "PBE",
  "state": "relaxed",
  "lattice_angstrom": [[-2.7136, 2.2216, 3.7615], [-4.3108, 2.5736, -1.1142], [-4.5700, -1.9286, 1.3578]],
  "species": ["Mg", "Mg", "Bi", "Al"],
  "fractional_positions": [[0.2500, 0.2500, 0.2500], [0.7500, 0.7500, 0.7500], [0.5000, 0.5000, 0.5000], [0.0000, 0.0000, 0.0000]],
  "formation_energy_ev_per_atom": 0.05,
  "polymorph_energy_mev_per_atom": 48
}

{
  "formula": "MgAlBi2",
  "functional": "PBE",
  "state": "relaxed",
  "lattice_angstrom": [[-0.9000, 1.0995, 3.9667], [0.8965, -4.6832, 1.5015], [4.8007, 1.1647, 0.7664]],
  "species": ["Mg", "Bi", "Bi", "Al"],
  "fractional_positions": [[0.5000, 0.0000, 0.0000], [0.0000, 0.0000, 0.5000], [0.0000, 0.5000, 0.0000], [0.5000, 0.5000, 0.5000]],
  "formation_energy_ev_per_atom": 0.10,
  "polymorph_energy_mev_per_atom": 27
}

{
  "formula": "MgAl4Bi",
  "functional": "PBE",
  "state": "relaxed",
  "lattice_angstrom": [[5.5941, 0.0000, 0.0000], [2.7971, 4.8447, 0.0000], [2.7971, 1.6149, 4.5676]],
  "species": ["Mg", "Bi", "Al", "Al", "Al", "Al"],
  "fractional_positions": [[0.0000, 0.0000, 0.0000], [0.2500, 0.2500, 0.2500], [0.6264, 0.6264, 0.1209], [0.6264, 0.1209, 0.6264], [0.6264, 0.6264, 0.6264], [0.1209, 0.6264, 0.6264]],
  "formation_energy_ev_per_atom": 0.13
}

{
  "formula": "Mg14AlBi",
  "functional": "PBE",
  "state": "relaxed",
  "lattice_angstrom": [[-4.4922, 3.5134, 2.9483], [-1.7133, -5.0121, -3.6276], [0.5842, -6.1378, 8.2043]],
  "species": ["Mg", "Mg", "Mg", "Mg", "Mg", "Mg", "Mg", "Mg", "Mg", "Mg", "Mg", "Mg", "Mg", "Mg", "Al", "Bi"],
  "fractional_positions": [[0.9960, 0.4980, 0.0000], [0.0012, 0.5006, 0.5000], [0.5020, 0.0040, 0.0000], [0.4994, 0.9988, 0.5000], [0.5020, 0.4980, 0.0000], [0.4994, 0.5006, 0.5000], [0.1685, 0.8315, 0.2432], [0.1685, 0.8315, 0.7568], [0.1685, 0.3369, 0.2432], [0.1685, 0.3369, 0.7568], [0.6631, 0.8315, 0.2432], [0.6631, 0.8315, 0.7568], [0.6667, 0.3333, 0.2529], [0.6667, 0.3333, 0.7471], [0.0000, 0.0000, 0.0000], [0.0000, 0.0000, 0.5000]],
  "formation_energy_ev_per_atom": -0.01
}